Entry 1:
This record from Alexandria via LeMat-Bulk describes a geometry-optimized Cs3YAs2O8 structure. The functional is PBE.

Its density of states at the Fermi level is 0.000 states/eV/atom. The total energy comes out at -85.89 eV/cell. As for the formation energy (no corrections): -1.993 eV per atom. Its space group is P-3m1.

Unit cell a=6.0545 b=6.0545 c=8.7700 alpha=90.00 beta=90.00 gamma=120.00
Last column: nearest neighbours and their distance in Å.
Positions (direct):
Cs 0.0000 0.0000 0.0000  12 O 3.59
Cs 0.3333 0.6667 0.7590  7 O 2.92-3.18
Cs 0.6667 0.3333 0.2410  7 O 2.92-3.18
Y 0.0000 0.0000 0.5000  6 O 2.27
As 0.3333 0.6667 0.2855  4 O 1.70-1.73
As 0.6667 0.3333 0.7145  4 O 1.70-1.73
O 0.1773 0.3545 0.3505  1 As 1.73
O 0.1773 0.8227 0.3505  1 As 1.73
O 0.3333 0.6667 0.0918  1 As 1.70
O 0.3545 0.1773 0.6495  1 As 1.73
O 0.6455 0.8227 0.3505  1 As 1.73
O 0.6667 0.3333 0.9082  1 As 1.70
O 0.8227 0.1773 0.6495  1 As 1.73
O 0.8227 0.6455 0.6495  1 As 1.73

Entry 2:
This record from Alexandria via LeMat-Bulk describes a geometry-optimized CsAsOs structure. The functional is PBE.

Its density of states at the Fermi level is 0.441 states/eV/atom. The total energy comes out at -34.22 eV/cell. Its space group is P4/nmm. For the formation energy, the calculation gives -126 meV per atom.

Unit cell a=4.1196 b=4.1196 c=12.1679 alpha=90.00 beta=90.00 gamma=90.00
Last column: nearest neighbours and their distance in Å.
Positions (direct):
Cs 0.2500 0.2500 0.2190  4 As 3.56
Cs 0.7500 0.7500 0.7810  4 As 3.56
As 0.2500 0.2500 0.6126  4 Os 2.47
As 0.7500 0.7500 0.3874  4 Os 2.47
Os 0.2500 0.7500 0.5000  4 As 2.47
Os 0.7500 0.2500 0.5000  4 As 2.47

Entry 3:
This record from Alexandria via LeMat-Bulk describes a geometry-optimized CsAs3Os structure. The functional is PBE.

Its density of states at the Fermi level is 1.458 states/eV/atom. The calculation puts the energy above the most stable polymorph in this dataset at 0 meV/atom. The total energy comes out at -23.80 eV/cell. Its space group is Pm-3m. For the formation energy, the calculation gives 446 meV per atom.

Unit cell a=5.0196 b=5.0196 c=5.0196 alpha=90.00 beta=90.00 gamma=90.00
Last column: nearest neighbours and their distance in Å.
Positions (direct):
Cs 0.0000 0.0000 0.0000  12 As 3.55
As 0.0000 0.5000 0.5000  2 Os 2.51
As 0.5000 0.0000 0.5000  2 Os 2.51
As 0.5000 0.5000 0.0000  2 Os 2.51
Os 0.5000 0.5000 0.5000  6 As 2.51

Entry 4:
This record from Alexandria via LeMat-Bulk describes a geometry-optimized CsAs3Os structure. The functional is PBE.

Its density of states at the Fermi level is 1.389 states/eV/atom. The calculation puts the energy above the most stable polymorph in this dataset at 2458 meV/atom. The total energy comes out at -11.51 eV/cell. Its space group is Pm-3m. For the formation energy, the calculation gives 2904 meV per atom.

Unit cell a=5.5653 b=5.5653 c=5.5653 alpha=90.00 beta=90.00 gamma=90.00
Last column: nearest neighbours and their distance in Å.
Positions (direct):
Cs 0.0000 0.0000 0.0000  6 As 2.78
As 0.0000 0.0000 0.5000  2 Cs 2.78
As 0.0000 0.5000 0.0000  2 Cs 2.78
As 0.5000 0.0000 0.0000  2 Cs 2.78
Os 0.5000 0.5000 0.5000  12 As 3.94